DFT (PBE-GGA) results for a geometry-optimized Pa2AuC2N6 structure.

raw total energy: -0.32444 Ha/atom
SG: P-1 (2)
spin magnetization: 0.84 Bohr magnetons per cell
calculated volume: 148 Å³/f.u.

abc: 5.193 5.858 5.897
angles: 112.70 104.55 104.13
Sites, in units of the cell vectors:
Pa1 0.242 0.129 0.348
Pa2 0.758 0.871 0.652
Au1 0.500 0.500 0.000
C1 0.252 0.769 0.729
C2 0.748 0.231 0.271
N1 0.152 0.852 0.925
N2 0.247 0.886 0.567
N3 0.368 0.576 0.686
N4 0.632 0.424 0.314
N5 0.753 0.114 0.433
N6 0.848 0.148 0.075